Entry 1:
SrThRu2O8: relaxed, PBE.

Computed properties:
* Fermi-level density of states: 0.71 states/eV/atom
* raw formation energy: -1.73 eV/atom
* SG: P-3m1, No. 164

Cell: 5.9166 5.9166 7.3282 Å, 90.00 90.00 120.00°
Atoms (fractional coordinates):
Th 0.0000 0.0000 0.5000
O 0.3333 0.6667 0.0467
O 0.6667 0.3333 0.9533
O 0.8357 0.1630 0.2865
O 0.1630 0.3273 0.7135
Ru 0.6667 0.3333 0.1938
O 0.3273 0.1643 0.2865
Sr 0.0000 0.0000 0.0000
O 0.1643 0.8370 0.7135
O 0.6727 0.8357 0.7135
Ru 0.3333 0.6667 0.8062
O 0.8370 0.6727 0.2865

---

Entry 2:
SrTi2RuO8: relaxed, PBE.

Computed properties:
* Fermi-level density of states: 0.28 states/eV/atom
* raw formation energy: -2.20 eV/atom
* SG: C2/m, No. 12

Cell: 4.9602 4.9599 6.8766 Å, 81.94 81.95 78.55°
Atoms (fractional coordinates):
Ti 0.4500 0.4499 0.7210
O 0.7826 0.2272 0.2019
Ti 0.5500 0.5501 0.2790
Sr 0.0000 0.0000 0.5000
O 0.6637 0.6644 0.4906
O 0.7545 0.7556 0.0619
O 0.3363 0.3356 0.5094
O 0.7735 0.2182 0.7979
Ru 0.0000 0.0000 0.0000
O 0.2265 0.7818 0.2021
O 0.2455 0.2444 0.9381
O 0.2174 0.7728 0.7981

---

Entry 3:
Sr2TiRuO6: relaxed, PBE.

Computed properties:
* Fermi-level density of states: 0.16 states/eV/atom
* raw formation energy: -2.45 eV/atom
* SG: P4/mmm, No. 123

Cell: 3.9478 3.9478 7.9574 Å, 90.00 90.00 90.00°
Atoms (fractional coordinates):
Sr 0.5000 0.5000 0.7442
Ru 0.0000 0.0000 0.0000
O 0.0000 0.0000 0.2547
O 0.5000 0.0000 0.5000
O 0.0000 0.0000 0.7453
O 0.0000 0.5000 0.5000
O 0.5000 0.0000 0.0000
Sr 0.5000 0.5000 0.2558
Ti 0.0000 0.0000 0.5000
O 0.0000 0.5000 0.0000

---

Repeat the second record exactly.
SrTi2RuO8: relaxed, PBE.

Computed properties:
* Fermi-level density of states: 0.28 states/eV/atom
* raw formation energy: -2.20 eV/atom
* SG: C2/m, No. 12

Cell: 4.9602 4.9599 6.8766 Å, 81.94 81.95 78.55°
Atoms (fractional coordinates):
Ti 0.4500 0.4499 0.7210
O 0.7826 0.2272 0.2019
Ti 0.5500 0.5501 0.2790
Sr 0.0000 0.0000 0.5000
O 0.6637 0.6644 0.4906
O 0.7545 0.7556 0.0619
O 0.3363 0.3356 0.5094
O 0.7735 0.2182 0.7979
Ru 0.0000 0.0000 0.0000
O 0.2265 0.7818 0.2021
O 0.2455 0.2444 0.9381
O 0.2174 0.7728 0.7981

---

Number 3 is which compound? Sr2TiRuO6